No. 1
DFT (GGA-PBE) results for an optimized crystal structure of Ca3Pr3ErTe8.

POSCAR file:
```
Ca3Pr3ErTe8
1.0
4.478 2.585 7.429
-4.478 2.585 7.429
0.000 -5.171 7.429
Ca Pr Er Te
3 3 1 8
Cartesian
-2.239 -1.293 7.429 Ca
-2.239 1.293 14.858 Ca
0.000 2.585 7.429 Ca
-4.478 0.000 11.144 Pr
-2.239 1.293 3.715 Pr
2.239 1.293 3.715 Pr
0.000 0.000 11.144 Er
0.000 0.000 5.623 Te
0.000 -2.518 9.305 Te
-2.181 1.259 9.305 Te
-2.181 -1.259 12.983 Te
2.181 1.259 9.305 Te
2.181 -1.259 12.983 Te
0.000 2.518 12.983 Te
0.000 0.000 16.664 Te
```

Summary:
- Volume: 34.40 Å³/atom
- Formation energy without anion corrections: -1517 meV/atom
- Crystal system: trigonal
- Total magnetization: 0.00 μB per formula unit
- Final energy: -72.8 eV for the cell shown

---

No. 2
DFT (GGA-PBE) results for an optimized crystal structure of AcCeSmGd.

POSCAR file:
```
AcCeSmGd
1.0
0.000 4.157 4.157
4.157 0.000 4.157
4.157 4.157 0.000
Ac Ce Sm Gd
1 1 1 1
Cartesian
0.000 0.000 0.000 Ac
4.157 4.157 4.157 Ce
6.236 6.236 6.236 Sm
2.079 2.079 2.079 Gd
```

Summary:
- Volume: 35.92 Å³/atom
- Energy of formation: 80 kJ/mol of formula units
- Crystal system: cubic
- Total magnetization: 8.84 μB per formula unit
- Final energy: -28.0 eV for the cell shown

---

No. 3
DFT (GGA-PBE) results for an optimized crystal structure of Al3GaMo.

POSCAR file:
```
Al3GaMo
1.0
4.275 0.000 0.000
0.000 8.217 0.000
0.000 0.000 5.296
Al Ga Mo
6 2 2
Cartesian
1.069 0.617 0.495 Al
1.069 2.054 3.393 Al
1.069 3.491 0.495 Al
3.206 4.725 4.801 Al
3.206 6.162 1.903 Al
3.206 7.600 4.801 Al
1.069 6.162 3.282 Ga
3.206 2.054 2.014 Ga
1.069 6.162 0.568 Mo
3.206 2.054 4.728 Mo
```

Summary:
- Volume: 18.60 Å³/atom
- ΔE to the lowest computed polymorph: 0.086 eV/atom
- Energy of formation: 10 kJ/mol of formula units
- Crystal system: orthorhombic
- Total magnetization: 0.00 μB per formula unit
- Final energy: -50.0 eV for the cell shown

---

No. 4
DFT (GGA-PBE) results for an optimized crystal structure of Tb12Cd2Hg5.

POSCAR file:
```
Tb12Cd2Hg5
1.0
8.225 0.000 0.000
1.675 8.062 0.000
1.213 0.990 8.148
Tb Cd Hg
12 2 5
Cartesian
0.698 1.659 2.468 Tb
2.234 5.167 2.837 Tb
2.732 1.805 7.289 Tb
4.398 4.669 5.687 Tb
3.836 2.707 0.858 Tb
5.028 7.446 1.987 Tb
6.085 1.606 6.162 Tb
7.277 6.345 7.290 Tb
6.715 4.382 2.461 Tb
8.382 7.246 0.859 Tb
8.879 3.885 5.311 Tb
10.415 7.392 5.681 Tb
3.250 2.300 4.077 Cd
7.863 6.751 4.071 Cd
0.837 4.031 0.000 Hg
3.150 5.910 0.034 Hg
5.214 7.592 5.088 Hg
5.900 1.459 3.061 Hg
7.964 3.142 8.114 Hg
```

Summary:
- Volume: 28.44 Å³/atom
- Energy of formation: -387 kJ/mol of formula units
- Crystal system: triclinic
- Total magnetization: 0.00 μB per formula unit
- Final energy: -62.9 eV for the cell shown

---

No. 5
DFT (GGA-PBE) results for an optimized crystal structure of CdAg2Cl.

POSCAR file:
```
CdAg2Cl
1.0
-1.958 1.958 5.721
1.958 -1.958 5.721
1.958 1.958 -5.721
Cd Ag Cl
1 2 1
Cartesian
0.000 0.000 0.000 Cd
0.000 0.000 5.721 Ag
0.000 1.958 2.860 Ag
1.958 0.000 2.860 Cl
```

Summary:
- Volume: 21.93 Å³/atom
- ΔE to the lowest computed polymorph: 0.143 eV/atom
- Formation energy without anion corrections: -20 meV/atom
- Crystal system: tetragonal
- Total magnetization: 0.00 μB per formula unit
- Final energy: -8.5 eV for the cell shown

---

No. 6
DFT (GGA-PBE) results for an optimized crystal structure of Sm4Tl3Pd.

POSCAR file:
```
Sm4Tl3Pd
1.0
3.667 0.000 0.000
0.000 3.667 0.000
0.000 0.000 16.249
Sm Tl Pd
4 3 1
Cartesian
0.000 0.000 1.727 Sm
0.000 0.000 5.987 Sm
0.000 0.000 10.262 Sm
0.000 0.000 14.521 Sm
1.833 1.833 3.880 Tl
1.833 1.833 8.124 Tl
1.833 1.833 12.368 Tl
1.833 1.833 0.000 Pd
```

Summary:
- Volume: 27.31 Å³/atom
- ΔE to the lowest computed polymorph: 0.000 eV/atom
- Energy of formation: -369 kJ/mol of formula units
- Crystal system: tetragonal
- Total magnetization: 0.00 μB per formula unit
- Final energy: -35.0 eV for the cell shown

---

No. 7
DFT (GGA-PBE) results for an optimized crystal structure of NbHg.

POSCAR file:
```
NbHg
1.0
9.718 0.000 0.000
-4.859 8.416 0.000
0.000 0.000 3.072
Nb Hg
6 6
Cartesian
-1.428 4.797 0.768 Nb
1.418 4.781 0.768 Nb
0.010 7.254 0.768 Nb
4.849 1.162 2.304 Nb
3.441 3.635 2.304 Nb
6.287 3.619 2.304 Nb
-0.024 2.637 2.304 Hg
-2.563 7.118 2.304 Hg
2.272 1.339 0.768 Hg
2.587 7.077 2.304 Hg
7.422 1.298 0.768 Hg
4.882 5.779 0.768 Hg
```

Summary:
- Volume: 20.93 Å³/atom
- Energy of formation: 68 kJ/mol of formula units
- Crystal system: hexagonal
- Total magnetization: 0.00 μB per formula unit
- Final energy: -58.0 eV for the cell shown

---

No. 8
DFT (GGA-PBE) results for an optimized crystal structure of SrAl2I.

POSCAR file:
```
SrAl2I
1.0
-4.544 4.544 3.142
4.544 -4.544 3.142
4.544 4.544 -3.142
Sr Al I
2 4 2
Cartesian
0.000 0.000 0.000 Sr
0.000 4.544 1.571 Sr
2.272 2.407 -0.786 Al
6.681 2.272 0.786 Al
2.272 2.137 2.357 Al
-2.137 2.272 3.928 Al
4.544 0.000 1.571 I
0.000 0.000 3.142 I
```

Summary:
- Volume: 32.44 Å³/atom
- ΔE to the lowest computed polymorph: 0.000 eV/atom
- Formation energy without anion corrections: 113 meV/atom
- Crystal system: tetragonal
- Total magnetization: 0.00 μB per formula unit
- Final energy: -20.5 eV for the cell shown

---

No. 9
DFT (GGA-PBE) results for an optimized crystal structure of Al2TeAs.

POSCAR file:
```
Al2TeAs
1.0
1.992 -2.410 0.000
1.992 2.410 0.000
0.000 0.000 9.507
Al Te As
2 1 1
Cartesian
0.000 0.000 0.000 Al
1.992 0.000 1.924 Al
0.000 0.000 4.242 Te
1.992 0.000 7.860 As
```

Summary:
- Volume: 22.81 Å³/atom
- ΔE to the lowest computed polymorph: 0.375 eV/atom
- Formation energy without anion corrections: 126 meV/atom
- Crystal system: orthorhombic
- Total magnetization: 0.00 μB per formula unit
- Final energy: -14.8 eV for the cell shown

---

No. 10
DFT (GGA-PBE) results for an optimized crystal structure of La2Tb4Sm3.

POSCAR file:
```
La2Tb4Sm3
1.0
7.688 -2.568 0.000
7.688 2.568 0.000
-2.547 0.000 7.681
La Tb Sm
2 4 3
Cartesian
2.571 0.000 2.551 La
10.258 0.000 5.130 La
-0.017 0.000 5.146 Tb
2.578 0.000 7.678 Tb
10.252 0.000 0.002 Tb
12.847 0.000 2.535 Tb
0.000 0.000 0.000 Sm
5.164 0.000 5.123 Sm
7.666 0.000 2.558 Sm
```

Summary:
- Volume: 33.70 Å³/atom
- ΔE to the lowest computed polymorph: 0.000 eV/atom
- Energy of formation: 19 kJ/mol of formula units
- Crystal system: monoclinic
- Total magnetization: 0.00 μB per formula unit
- Final energy: -42.3 eV for the cell shown

---

No. 11
DFT (GGA-PBE) results for an optimized crystal structure of Sc2ReTc.

POSCAR file:
```
Sc2ReTc
1.0
2.966 0.000 0.000
0.000 4.413 0.000
-1.276 0.000 5.343
Sc Re Tc
2 1 1
Cartesian
0.000 0.000 0.000 Sc
-0.100 2.206 3.843 Sc
1.035 0.000 2.473 Re
1.907 2.206 1.382 Tc
```

Summary:
- Volume: 17.48 Å³/atom
- ΔE to the lowest computed polymorph: 0.128 eV/atom
- Energy of formation: -12 kJ/mol of formula units
- Crystal system: monoclinic
- Total magnetization: 0.00 μB per formula unit
- Final energy: -35.6 eV for the cell shown

---

No. 12
DFT (GGA-PBE) results for an optimized crystal structure of Th2GePb.

POSCAR file:
```
Th2GePb
1.0
3.556 0.000 0.000
0.000 3.556 0.000
0.000 0.000 8.687
Th Ge Pb
2 1 1
Cartesian
0.000 0.000 1.922 Th
0.000 0.000 6.765 Th
1.778 1.778 0.000 Ge
1.778 1.778 4.344 Pb
```

Summary:
- Volume: 27.47 Å³/atom
- ΔE to the lowest computed polymorph: 0.067 eV/atom
- Energy of formation: -170 kJ/mol of formula units
- Crystal system: tetragonal
- Total magnetization: 0.00 μB per formula unit
- Final energy: -24.9 eV for the cell shown